Density functional theory data (PBE with a Hubbard U) for a relaxed structure of NbZnCo2O6.

**DFT total energy**: -67.0 eV/cell
**SG**: R3 (146)

a = 5.108 Å, b = 5.108 Å, c = 5.556 Å
α = 62.61°, β = 62.61°, γ = 60.00°
Element x y z (fractional)
Co1 0.521 0.521 0.438
Co2 0.011 0.011 0.967
O1 0.225 0.927 0.226
O2 0.385 0.735 0.754
O3 0.126 0.385 0.754
O4 0.622 0.225 0.226
O5 0.735 0.126 0.754
O6 0.927 0.622 0.225
Nb1 0.314 0.314 0.058
Zn1 0.795 0.795 0.614